(1)
The following is a DFT calculation (PBE) of SrDyIr2O8 after structural relaxation.

Cell: 5.922 5.922 7.233 Å, 90.00 90.00 120.00°
Last column: magnetic moment on the atom in μB.
Positions (direct):
Sr 0.000 0.000 0.000  0.00
Dy 0.000 0.000 0.500  0.00
Ir 0.667 0.333 0.213  0.22
Ir 0.333 0.667 0.787  0.22
O 0.333 0.667 0.038  0.09
O 0.320 0.160 0.288  0.04
O 0.840 0.159 0.288  0.04
O 0.667 0.333 0.962  0.09
O 0.160 0.841 0.712  0.04
O 0.680 0.840 0.712  0.04
O 0.159 0.320 0.712  0.04
O 0.841 0.680 0.288  0.04

## Properties
Fermi-level density of states (states/eV/f.u.): 11.2
Uncorrected formation energy (eV per atom): -1.3505
Electronic total energy (eV per atom): -6.656

=====

(2)
The following is a DFT calculation (PBE) of Sr2DyIr3O12 after structural relaxation.

Cell: 6.689 6.689 6.689 Å, 66.03 66.03 66.03°
Last column: magnetic moment on the atom in μB.
Positions (direct):
Sr 0.613 0.613 0.613  0.00
Sr 0.387 0.387 0.387  0.00
Dy 0.000 0.000 0.000  0.01
Ir 0.500 0.000 0.000  0.06
Ir 0.000 0.500 0.000  0.06
Ir 0.000 0.000 0.500  0.06
O 0.293 0.293 0.872  0.00
O 0.864 0.864 0.407  0.02
O 0.407 0.864 0.864  0.02
O 0.872 0.293 0.293  0.00
O 0.864 0.407 0.864  0.02
O 0.293 0.872 0.293  0.00
O 0.707 0.707 0.128  0.00
O 0.136 0.136 0.593  0.02
O 0.593 0.136 0.136  0.02
O 0.128 0.707 0.707  0.00
O 0.136 0.593 0.136  0.02
O 0.707 0.128 0.707  0.00

## Properties
Fermi-level density of states (states/eV/f.u.): 11.0
Uncorrected formation energy (eV per atom): -1.5179
Electronic total energy (eV per atom): -6.743

=====

(3)
The following is a DFT calculation (PBE) of TbDy2IrO8 after structural relaxation.

Cell: 5.049 5.043 6.794 Å, 90.00 90.00 90.44°
Last column: magnetic moment on the atom in μB.
Positions (direct):
Tb 0.000 0.000 0.500  0.03
Dy 0.500 0.500 0.748  0.03
Dy 0.500 0.500 0.252  0.03
Ir 0.000 0.000 0.000  0.82
O 0.184 0.816 0.210  0.11
O 0.732 0.732 0.000  0.06
O 0.816 0.184 0.210  0.11
O 0.816 0.184 0.790  0.11
O 0.268 0.268 0.000  0.06
O 0.184 0.816 0.790  0.11
O 0.691 0.691 0.500  0.01
O 0.309 0.309 0.500  0.01

## Properties
Fermi-level density of states (states/eV/f.u.): 5.4
Uncorrected formation energy (eV per atom): -2.3584
Electronic total energy (eV per atom): -7.555

=====

(4)
The following is a DFT calculation (PBE) of Tb2DyIrO8 after structural relaxation.

Cell: 5.062 5.055 6.802 Å, 90.00 90.00 90.57°
Last column: magnetic moment on the atom in μB.
Positions (direct):
Tb 0.500 0.500 0.748  0.03
Tb 0.500 0.500 0.252  0.03
Dy 0.000 0.000 0.500  0.04
Ir 0.000 0.000 0.000  0.80
O 0.182 0.817 0.211  0.10
O 0.732 0.733 0.000  0.06
O 0.818 0.183 0.211  0.10
O 0.818 0.183 0.789  0.10
O 0.268 0.267 0.000  0.06
O 0.182 0.817 0.789  0.10
O 0.693 0.693 0.500  0.01
O 0.307 0.307 0.500  0.01

## Properties
Fermi-level density of states (states/eV/f.u.): 5.5
Uncorrected formation energy (eV per atom): -2.3507
Electronic total energy (eV per atom): -7.550

=====

(5)
The following is a DFT calculation (PBE) of Dy2Tl2IrO6 after structural relaxation.

Cell: 5.801 5.801 6.778 Å, 96.98 96.98 120.23°
Last column: magnetic moment on the atom in μB.
Positions (direct):
Dy 0.335 0.665 0.500  0.02
Dy 0.665 0.335 0.500  0.02
Tl 0.838 0.162 0.000  0.01
Tl 0.162 0.838 0.000  0.01
Ir 0.000 0.000 0.500  0.62
O 0.747 0.747 0.672  0.06
O 0.043 0.354 0.663  0.06
O 0.253 0.253 0.328  0.06
O 0.354 0.043 0.663  0.06
O 0.957 0.646 0.337  0.06
O 0.646 0.957 0.337  0.06

## Properties
Fermi-level density of states (states/eV/f.u.): 6.9
Uncorrected formation energy (eV per atom): -1.8479
Electronic total energy (eV per atom): -6.625

=====

(6)
The following is a DFT calculation (PBE) of DyTm2IrO8 after structural relaxation.

Cell: 4.994 4.986 6.716 Å, 90.00 90.00 90.47°
Last column: magnetic moment on the atom in μB.
Positions (direct):
Dy 0.000 0.000 0.500  0.03
Tm 0.500 0.500 0.747  0.03
Tm 0.500 0.500 0.253  0.03
Ir 0.000 0.000 0.000  0.79
O 0.185 0.813 0.211  0.11
O 0.727 0.729 0.000  0.04
O 0.815 0.187 0.211  0.11
O 0.815 0.187 0.789  0.11
O 0.273 0.271 0.000  0.04
O 0.185 0.813 0.789  0.11
O 0.689 0.691 0.500  0.01
O 0.311 0.309 0.500  0.01

## Properties
Fermi-level density of states (states/eV/f.u.): 5.4
Uncorrected formation energy (eV per atom): -2.3987
Electronic total energy (eV per atom): -7.571

=====

(7)
The following is a DFT calculation (PBE) of DyTmIrO6 after structural relaxation.

Cell: 5.434 5.434 9.595 Å, 90.00 90.00 120.00°
Last column: magnetic moment on the atom in μB.
Positions (direct):
Dy 0.000 0.000 0.000  0.06
Dy 0.000 0.000 0.500  0.06
Tm 0.333 0.667 0.250  0.06
Tm 0.667 0.333 0.750  0.06
Ir 0.667 0.333 0.250  1.40
Ir 0.333 0.667 0.750  1.40
O 0.670 0.633 0.135  0.17
O 0.963 0.330 0.135  0.17
O 0.330 0.963 0.635  0.17
O 0.037 0.670 0.865  0.17
O 0.367 0.330 0.365  0.17
O 0.963 0.633 0.365  0.17
O 0.633 0.963 0.865  0.17
O 0.670 0.037 0.365  0.17
O 0.037 0.367 0.635  0.17
O 0.367 0.037 0.135  0.17
O 0.633 0.670 0.635  0.17
O 0.330 0.367 0.865  0.17

## Properties
Fermi-level density of states (states/eV/f.u.): 3.5
Uncorrected formation energy (eV per atom): -2.2371
Electronic total energy (eV per atom): -7.535

=====

(8)
The following is a DFT calculation (PBE) of DyY2IrO8 after structural relaxation.

Cell: 5.052 5.045 6.787 Å, 90.00 90.00 90.62°
Last column: magnetic moment on the atom in μB.
Positions (direct):
Dy 0.000 0.000 0.500  0.04
Y 0.500 0.500 0.748  0.02
Y 0.500 0.500 0.252  0.02
Ir 0.000 0.000 0.000  0.80
O 0.183 0.817 0.211  0.11
O 0.731 0.731 0.000  0.05
O 0.817 0.183 0.211  0.11
O 0.817 0.183 0.789  0.11
O 0.269 0.269 0.000  0.05
O 0.183 0.817 0.789  0.11
O 0.693 0.693 0.500  0.01
O 0.307 0.307 0.500  0.01

## Properties
Fermi-level density of states (states/eV/f.u.): 5.5
Uncorrected formation energy (eV per atom): -2.3449
Electronic total energy (eV per atom): -7.850

=====

(9)
The following is a DFT calculation (PBE) of Dy2YIrO8 after structural relaxation.

Cell: 5.043 5.037 6.794 Å, 90.01 90.00 90.58°
Last column: magnetic moment on the atom in μB.
Positions (direct):
Dy 0.500 0.500 0.748  0.03
Dy 0.500 0.500 0.252  0.03
Y 0.000 0.000 0.500  0.02
Ir 0.000 0.000 0.000  0.84
O 0.183 0.816 0.210  0.11
O 0.731 0.731 0.000  0.06
O 0.817 0.184 0.210  0.11
O 0.817 0.184 0.790  0.11
O 0.269 0.269 0.000  0.06
O 0.183 0.816 0.790  0.11
O 0.692 0.692 0.500  0.01
O 0.308 0.308 0.500  0.01

## Properties
Fermi-level density of states (states/eV/f.u.): 5.3
Uncorrected formation energy (eV per atom): -2.3558
Electronic total energy (eV per atom): -7.705

=====

(10)
The following is a DFT calculation (PBE) of DyZrIrO6 after structural relaxation.

Cell: 5.325 5.325 9.840 Å, 90.00 90.00 120.00°
Last column: magnetic moment on the atom in μB.
Positions (direct):
Dy 0.000 0.000 0.000  0.03
Dy 0.000 0.000 0.500  0.03
Zr 0.333 0.667 0.250  0.00
Zr 0.667 0.333 0.750  0.00
Ir 0.667 0.333 0.250  1.10
Ir 0.333 0.667 0.750  1.10
O 0.659 0.641 0.137  0.12
O 0.981 0.341 0.137  0.12
O 0.341 0.981 0.637  0.12
O 0.019 0.659 0.863  0.12
O 0.359 0.341 0.363  0.12
O 0.981 0.641 0.363  0.12
O 0.641 0.981 0.863  0.12
O 0.659 0.019 0.363  0.12
O 0.019 0.359 0.637  0.12
O 0.359 0.019 0.137  0.12
O 0.641 0.659 0.637  0.12
O 0.341 0.359 0.863  0.12

## Properties
Fermi-level density of states (states/eV/f.u.): 3.8
Uncorrected formation energy (eV per atom): -2.3012
Electronic total energy (eV per atom): -8.052

=====

(11)
The following is a DFT calculation (PBE) of DyIrOs after structural relaxation.

Cell: 5.293 5.293 8.895 Å, 90.00 90.00 119.46°
Positions (direct):
Dy 0.333 0.667 0.319
Dy 0.666 0.334 0.184
Dy 0.666 0.334 0.816
Dy 0.333 0.667 0.681
Ir 0.997 0.003 0.251
Ir 0.997 0.003 0.749
Ir 0.342 0.166 0.500
Ir 0.834 0.658 0.500
Os 0.830 0.170 0.500
Os 0.660 0.830 0.000
Os 0.170 0.340 0.000
Os 0.174 0.826 0.000

## Properties
E above lowest polymorph (kJ per mole of atoms): 0.0
Fermi-level density of states (states/eV/f.u.): 2.3
ΔE_f (eV/atom): -0.56
Electronic total energy (eV per atom): -8.795

=====

(12)
The following is a DFT calculation (PBE) of Dy2IrOs3 after structural relaxation.

Cell: 5.261 5.261 5.462 Å, 89.98 118.79 120.03°
Positions (direct):
Dy 0.754 0.377 0.131
Dy 0.246 0.623 0.869
Ir 0.000 0.000 0.000
Os 0.500 0.500 0.500
Os 0.000 0.000 0.500
Os 0.500 0.000 0.500

## Properties
Fermi-level density of states (states/eV/f.u.): 5.4
ΔE_f (eV/atom): -0.42
Electronic total energy (eV per atom): -9.046